Here is a relaxed HgHBr2 crystal from the Alexandria database. Energies are from PBE.

Structure (extended XYZ):
```
8
Lattice="6.3003 0.0000 0.0000 0.0000 6.3003 0.0000 3.1501 3.1501 4.8700" Properties=species:S:1:pos:R:3 pbc="T T T"
H 3.1501 3.1501 0.0000
H 3.1501 6.3003 2.4350
Hg 0.0000 0.0000 0.0000
Hg 6.3003 3.1501 2.4350
Br 4.0206 1.5751 1.2175
Br 2.2797 4.7252 1.2175
Br 4.7252 5.4299 3.6525
Br 7.8754 7.1707 3.6525
```

Computed properties:
Energy above the lowest structure with this stoichiometry (eV/atom): 0.3394
Calculated total energy (eV per atom): -1.524


Here is a relaxed Hg3HBr crystal from the Alexandria database. Energies are from PBE.

Structure (extended XYZ):
```
5
Lattice="6.3197 0.0000 0.0000 0.0000 6.3197 0.0000 0.0000 0.0000 6.3197" Properties=species:S:1:pos:R:3 pbc="T T T"
H 3.1599 3.1599 3.1599
Hg 0.0000 3.1599 0.0000
Hg 0.0000 0.0000 3.1599
Hg 3.1599 0.0000 0.0000
Br 0.0000 0.0000 0.0000
```

Computed properties:
Energy above the lowest structure with this stoichiometry (eV/atom): 0.6199
Calculated total energy (eV per atom): -0.606


Here is a relaxed Hg3HBr crystal from the Alexandria database. Energies are from PBE.

Structure (extended XYZ):
```
10
Lattice="-2.7422 4.1978 -4.4920 -5.4056 -4.8569 -1.2390 1.6050 3.3598 7.2044" Properties=species:S:1:pos:R:3 pbc="T T T"
Hg -4.5752 3.7011 1.2072
Hg -1.9676 -1.0005 0.2662
Hg -3.6527 0.9381 -1.9379
Hg -2.8900 1.7625 3.4113
Hg -2.3699 3.5172 -0.3109
Hg -4.1728 -0.8166 1.7842
H -6.4180 -1.5054 -2.5333
H -0.1248 4.2060 4.0067
Br -0.0797 1.4493 1.4030
Br -6.4631 1.2513 0.0703
```

Computed properties:
Energy above the lowest structure with this stoichiometry (eV/atom): 0.0000
Calculated total energy (eV per atom): -1.226


Here is a relaxed HgH2Br2 crystal from the Alexandria database. Energies are from PBE.

Structure (extended XYZ):
```
10
Lattice="8.1016 -0.3656 -2.9405 -0.5221 8.0903 -2.9582 -5.7969 -5.9078 10.5751" Properties=species:S:1:pos:R:3 pbc="T T T"
Hg -2.2955 -1.7642 7.6237
Hg 3.3356 -1.4868 2.3447
H 1.7593 3.5451 1.9716
H 0.4666 3.0307 -0.3664
H -1.2412 1.2942 5.0387
H -1.7312 -0.0083 2.7002
Br 1.6716 -2.8835 6.3537
Br 2.1377 2.4528 1.0561
Br -0.6315 -0.3676 3.6147
Br 4.6993 0.2040 -1.6628
```

Computed properties:
Energy above the lowest structure with this stoichiometry (eV/atom): 0.0875
Calculated total energy (eV per atom): -2.244


Here is a relaxed HgHBr crystal from the Alexandria database. Energies are from PBE.

Structure (extended XYZ):
```
6
Lattice="4.1224 0.8089 -0.3137 1.4196 7.3468 1.5165 -0.4512 1.3514 5.8482" Properties=species:S:1:pos:R:3 pbc="T T T"
Hg 1.9386 3.9531 0.8222
Hg 2.6506 7.6268 1.5803
H 1.1216 2.5090 1.0792
H 2.3031 6.7490 6.4128
Br 4.5399 6.9542 3.0922
Br 3.0117 3.1119 4.0870
```

Computed properties:
Energy above the lowest structure with this stoichiometry (eV/atom): 0.1842
Calculated total energy (eV per atom): -1.841


Here is a relaxed Hg5H4Br2 crystal from the Alexandria database. Energies are from PBE.

Structure (extended XYZ):
```
11
Lattice="-1.2526 6.4967 -0.8809 0.1906 -3.0727 9.8856 3.4224 4.8650 -2.4269" Properties=species:S:1:pos:R:3 pbc="T T T"
Hg -0.0147 3.5805 7.7092
Hg 2.3751 4.7084 -1.1314
Hg 1.8065 0.8961 3.7294
Hg 0.3381 0.1230 5.8282
Hg 2.0223 8.1660 0.7496
H 2.9511 5.8748 -0.0554
H -0.5906 2.4141 6.6333
H 0.3942 7.7444 -1.0489
H 1.9662 0.5445 7.6267
Br 2.1359 3.9527 5.2077
Br 0.2245 4.3362 1.3701
```

Computed properties:
Calculated total energy (eV per atom): -1.629